# Nd2AuSe3

A relaxed structure of Nd2AuSe3 (PBE, OQMD via LeMat-Bulk).

E: -5.240 eV per atom

```
Nd2AuSe3
1.0
10.6759 0.0000 0.0000
0.0000 4.0329 0.0000
0.0000 0.0000 14.0025
Nd Au Se
8 4 12
Cartesian
0.1412 1.0082 3.4677
2.4571 3.0247 7.2891
2.8809 1.0082 0.2878
5.1967 3.0247 10.4690
5.4792 1.0082 3.5335
7.7950 3.0247 13.7147
8.2188 1.0082 6.7134
10.5347 3.0247 10.5348
2.5619 1.0082 10.1283
2.7760 3.0247 3.1271
7.8999 1.0082 10.8754
8.1140 3.0247 3.8742
0.4787 1.0082 8.3861
0.8492 3.0247 1.3236
2.5287 3.0247 11.9964
2.8093 1.0082 4.9952
4.4887 1.0082 8.3248
4.8592 3.0247 1.3848
5.8167 1.0082 12.6177
6.1872 3.0247 5.6777
7.8666 3.0247 9.0073
8.1472 1.0082 2.0061
9.8267 1.0082 12.6789
10.1972 3.0247 5.6164
```



# ErTh

A relaxed structure of ErTh (PBE, OQMD via LeMat-Bulk).

E: -5.932 eV per atom

```
ErTh
1.0
3.5206 0.0000 0.0000
-1.7603 3.0489 0.0000
0.0000 0.0000 5.8663
Er Th
1 1
Cartesian
0.0000 0.0000 0.0000
1.7603 1.0163 2.9332
```



# TmCoIr

A relaxed structure of TmCoIr (PBE, OQMD via LeMat-Bulk).

E: -6.274 eV per atom

```
TmCoIr
1.0
0.0000 3.0985 3.0985
3.0985 0.0000 3.0985
3.0985 3.0985 0.0000
Tm Co Ir
1 1 1
Cartesian
0.0000 0.0000 0.0000
4.6478 4.6478 4.6478
1.5493 1.5493 1.5493
```



# YTm2Tl3AgPd2

A relaxed structure of YTm2Tl3AgPd2 (PBE, OQMD via LeMat-Bulk).

E: -4.504 eV per atom

```
YTm2Tl3AgPd2
1.0
3.7289 0.0000 0.0000
0.0000 6.8607 3.9525
0.0000 -6.8607 3.9525
Y Tm Tl Ag Pd
1 2 3 1 2
Cartesian
0.0000 0.0000 0.0000
0.0000 -2.7836 4.7945
0.0000 2.7836 4.7945
1.8644 -1.8864 2.1025
1.8644 1.8864 2.1025
1.8644 0.0000 5.3720
0.0000 0.0000 3.2068
1.8644 -4.5440 3.1810
1.8644 4.5440 3.1810
```



Which value of E does entry 4 give?
-4.504 eV per atom



Which formula does entry 1 have?
Nd2AuSe3



Repeat the third record exactly.
# TmCoIr

A relaxed structure of TmCoIr (PBE, OQMD via LeMat-Bulk).

E: -6.274 eV per atom

```
TmCoIr
1.0
0.0000 3.0985 3.0985
3.0985 0.0000 3.0985
3.0985 3.0985 0.0000
Tm Co Ir
1 1 1
Cartesian
0.0000 0.0000 0.0000
4.6478 4.6478 4.6478
1.5493 1.5493 1.5493
```



E of number 2 (ErTh)?
-5.932 eV per atom